Record 1
A plane-wave DFT calculation with PBE-GGA was carried out for DyEr2Cd after structural relaxation.

Energy of formation from the pure elements   -146 meV/atom
Calculated total energy   -3.81 eV/atom
Polymorph energy (0 for the lowest one)   0.00 kJ per mole of atoms
Magnetization   0.00 μB/cell
DOS(E_F)   4.5 states/eV/cell

Lattice parameters (Å, degrees): 3.552 3.552 9.015 90.00 90.00 90.00
Fractional positions:
Er: 0.000 0.000 0.228
Dy: 0.500 0.500 0.500
Cd: 0.500 0.500 0.000
Er: 0.000 0.000 0.772

Record 2
A plane-wave DFT calculation with PBE-GGA was carried out for CoSn2H2 after structural relaxation.

Calculated total energy   -3.95 eV/atom
Magnetization   0.58 μB/cell
DOS(E_F)   1.9 states/eV/cell

Lattice parameters (Å, degrees): 3.175 3.175 6.765 76.43 76.43 90.00
Fractional positions:
Co: 0.000 0.000 0.000
H: 0.750 0.250 0.500
Sn: 0.626 0.626 0.748
H: 0.250 0.750 0.500
Sn: 0.374 0.374 0.252